[1]
LiTaGeRuI: relaxed, PBE-GGA.

## Properties
E_form (uncorrected): -0.004 eV/atom
Magnetization: 0.00 μB per formula unit
E: -5.846 eV/atom

The structure in POSCAR format:
```
LiTaGeRuI
1.0
3.486 0.000 0.000
-1.735 4.216 0.000
0.000 -0.525 8.206
Li Ta Ge Ru I
1 1 1 1 1
direct
0.000 0.000 0.000
0.992 0.000 0.658
0.264 0.540 0.535
0.691 0.394 0.770
0.712 0.428 0.109
```

[2]
HgP2W: relaxed, PBE-GGA.

## Properties
Formation enthalpy at 0 K: 0.162 eV per atom
Magnetization: 0.00 μB per formula unit
E: -5.857 eV/atom

The structure in POSCAR format:
```
HgP2W
1.0
-1.499 1.594 9.072
1.499 -1.594 9.072
1.499 1.594 -9.072
Hg P W
1 2 1
direct
0.000 0.000 0.000
0.330 0.830 0.500
0.662 0.662 0.000
0.766 0.266 0.500
```

[3]
Be5Rh4: relaxed, PBE-GGA.

## Properties
Formation enthalpy at 0 K: -0.504 eV per atom
Magnetization: 0.00 μB per formula unit
E: -5.841 eV/atom

The structure in POSCAR format:
```
Be5Rh4
1.0
-3.679 3.679 1.795
3.679 -3.679 1.795
3.679 3.679 -1.795
Be Rh
5 4
direct
0.000 0.000 0.000
0.330 0.330 0.660
0.330 0.670 0.000
0.670 0.330 0.000
0.670 0.670 0.340
0.000 0.294 0.294
0.000 0.706 0.706
0.294 0.000 0.294
0.706 0.000 0.706
```

[4]
AcPmRu: relaxed, PBE-GGA.

## Properties
Formation enthalpy at 0 K: -0.143 eV per atom
Magnetization: 0.00 μB per formula unit
E: -6.188 eV/atom

The structure in POSCAR format:
```
AcPmRu
1.0
6.655 0.000 0.000
0.000 4.275 0.000
-2.656 0.000 6.869
Ac Pm Ru
2 2 2
direct
0.246 0.000 0.254
0.754 0.000 0.746
0.276 0.500 0.759
0.724 0.500 0.241
0.500 0.000 0.000
0.500 0.500 0.500
```

[5]
MnCo2Pt: relaxed, PBE-GGA.

## Properties
Formation enthalpy at 0 K: -0.044 eV per atom
Magnetization: 6.67 μB per formula unit
E: -7.399 eV/atom

The structure in POSCAR format:
```
MnCo2Pt
1.0
2.701 0.000 0.000
0.000 3.540 0.000
-0.008 0.000 5.355
Mn Co Pt
1 2 1
direct
0.000 0.000 0.000
0.001 0.000 0.541
0.500 0.500 0.749
0.500 0.500 0.263
```

[6]
TaAgMo2: relaxed, PBE-GGA.

## Properties
Formation enthalpy at 0 K: 0.434 eV per atom
Magnetization: 0.00 μB per formula unit
E: -8.657 eV/atom

The structure in POSCAR format:
```
TaAgMo2
1.0
1.405 0.811 10.010
-1.405 0.811 10.010
0.000 -1.622 10.010
Ta Ag Mo
1 1 2
direct
0.000 0.000 0.000
0.500 0.500 0.500
0.250 0.250 0.250
0.750 0.750 0.750
```

[7]
CdFeBr2: relaxed, PBE-GGA.

## Properties
E_form (uncorrected): -0.117 eV/atom
Magnetization: 2.86 μB per formula unit
E: -3.298 eV/atom

The structure in POSCAR format:
```
CdFeBr2
1.0
4.298 0.000 0.000
0.000 3.528 0.000
-2.141 0.000 7.307
Cd Fe Br
1 1 2
direct
0.000 0.000 0.000
0.461 0.500 0.921
0.338 0.000 0.676
0.623 0.500 0.245
```

[8]
Mn2ReMoH: relaxed, PBE-GGA.

## Properties
Magnetization: 2.08 μB per formula unit
E: -8.906 eV/atom

The structure in POSCAR format:
```
Mn2ReMoH
1.0
3.775 0.000 0.000
0.000 3.775 0.000
0.000 0.000 3.884
Mn Re Mo H
2 1 1 1
direct
0.000 0.500 0.000
0.500 0.000 0.000
0.000 0.000 0.500
0.500 0.500 0.500
0.500 0.500 0.000
```

Which value of magnetization does entry 3 give? 0.00 μB per formula unit